# Li3Ac2SmPb4 (PBE-GGA, optimized geometry)
data_Li3Ac2SmPb4
_chemical_formula_sum 'Li3 Ac2 Sm1 Pb4'
_space_group_name_H-M_alt 'P -4 m 2'
_space_group_IT_number 115
_cell_length_a 4.8321
_cell_length_b 4.8321
_cell_length_c 12.3161
_cell_angle_alpha 90.00
_cell_angle_beta 90.00
_cell_angle_gamma 90.00
loop_
_space_group_symop_operation_xyz
'x,y,z'
'y,-x,-z'
'-x,-y,z'
'-y,x,-z'
'-x,y,z'
'-y,-x,-z'
'x,-y,z'
'y,x,-z'
loop_
_atom_site_label
_atom_site_type_symbol
_atom_site_fract_x
_atom_site_fract_y
_atom_site_fract_z
_atom_site_occupancy
Li1 Li 0.0000 0.0000 0.0000 1
Li2 Li 0.0000 0.5000 0.6227 1
Ac1 Ac 0.0000 0.5000 0.2728 1
Sm1 Sm 0.5000 0.5000 0.0000 1
Pb1 Pb 0.0000 0.0000 0.5000 1
Pb2 Pb 0.0000 0.5000 0.8432 1
Pb3 Pb 0.5000 0.5000 0.5000 1
# Fermi-level density of states = 2.15 states/eV/cell
# electronic total energy = -3.823 eV per atom
# E_form = -0.4720 eV/atom

***

# BiSb5Pb6 (PBE-GGA, optimized geometry)
data_BiSb5Pb6
_chemical_formula_sum 'Bi2 Sb10 Pb12'
_space_group_name_H-M_alt 'C 1 2/m 1'
_space_group_IT_number 12
_cell_length_a 9.0585
_cell_length_b 17.9781
_cell_length_c 5.9095
_cell_angle_alpha 90.00
_cell_angle_beta 130.16
_cell_angle_gamma 90.00
loop_
_space_group_symop_operation_xyz
'x,y,z'
'-x,-y,-z'
'-x,y,-z'
'x,-y,z'
'x+1/2,y+1/2,z'
'-x+1/2,-y+1/2,-z'
'-x+1/2,y+1/2,-z'
'x+1/2,-y+1/2,z'
loop_
_atom_site_label
_atom_site_type_symbol
_atom_site_fract_x
_atom_site_fract_y
_atom_site_fract_z
_atom_site_occupancy
Bi1 Bi 0.0000 0.0000 0.0000 1
Sb1 Sb 0.0000 0.1606 0.5000 1
Sb2 Sb 0.0000 0.3307 0.0000 1
Sb3 Sb 0.0000 0.5000 0.5000 1
Pb1 Pb 0.2438 0.5000 0.2443 1
Pb2 Pb 0.2471 0.3305 0.7467 1
# Fermi-level density of states = 17.39 states/eV/cell
# electronic total energy = -3.814 eV per atom
# raw formation energy = 0.082 eV/atom

***

# MgSc2HgSb (PBE-GGA, optimized geometry)
data_MgSc2HgSb
_chemical_formula_sum 'Mg1 Sc2 Hg1 Sb1'
_space_group_name_H-M_alt 'P 4/m m m'
_space_group_IT_number 123
_space_group_name_Hall '-P 4 2'
_cell_length_a 5.3376
_cell_length_b 5.3376
_cell_length_c 5.4978
_cell_angle_alpha 90.00
_cell_angle_beta 90.00
_cell_angle_gamma 90.00
loop_
_atom_site_label
_atom_site_type_symbol
_atom_site_fract_x
_atom_site_fract_y
_atom_site_fract_z
_atom_site_occupancy
Mg1 Mg 0.0000 0.0000 0.0000 1
Sc1 Sc 0.0000 0.5000 0.5000 1
Hg1 Hg 0.5000 0.5000 0.5000 1
Sb1 Sb 0.5000 0.5000 0.0000 1
# Fermi-level density of states = 6.48 states/eV/cell
# electronic total energy = -3.306 eV per atom
# raw formation energy = 0.431 eV/atom

***

# Er2ZrSc (PBE-GGA, optimized geometry)
data_Er2ZrSc
_chemical_formula_sum 'Er6 Zr3 Sc3'
_space_group_name_H-M_alt 'R 3 m'
_space_group_IT_number 160
_space_group_name_Hall 'R 3 -2"'
_cell_length_a 3.3945
_cell_length_b 3.3945
_cell_length_c 32.4059
_cell_angle_alpha 90.00
_cell_angle_beta 90.00
_cell_angle_gamma 120.00
loop_
_atom_site_label
_atom_site_type_symbol
_atom_site_fract_x
_atom_site_fract_y
_atom_site_fract_z
_atom_site_occupancy
Er1 Er 0.0000 0.0000 0.0000 1
Er2 Er 0.0000 0.0000 0.1631 1
Zr1 Zr 0.0000 0.0000 0.7477 1
Sc1 Sc 0.0000 0.0000 0.5819 1
# Fermi-level density of states = 19.73 states/eV/cell
# electronic total energy = -5.934 eV per atom
# E_form = 0.0674 eV/atom
# offset from the most stable computed form = 0.000 eV per atom

***

# Ca3Tl3Zn (PBE-GGA, optimized geometry)
data_Ca3Tl3Zn
_chemical_formula_sum 'Ca12 Tl12 Zn4'
_space_group_name_H-M_alt 'C 1 2/m 1'
_space_group_IT_number 12
_cell_length_a 10.9513
_cell_length_b 10.0352
_cell_length_c 7.5023
_cell_angle_alpha 90.00
_cell_angle_beta 91.12
_cell_angle_gamma 90.00
loop_
_space_group_symop_operation_xyz
'x,y,z'
'-x,-y,-z'
'-x,y,-z'
'x,-y,z'
'x+1/2,y+1/2,z'
'-x+1/2,-y+1/2,-z'
'-x+1/2,y+1/2,-z'
'x+1/2,-y+1/2,z'
loop_
_atom_site_label
_atom_site_type_symbol
_atom_site_fract_x
_atom_site_fract_y
_atom_site_fract_z
_atom_site_occupancy
Ca1 Ca 0.0475 0.0000 0.2611 1
Ca2 Ca 0.2433 0.2067 0.7436 1
Tl1 Tl 0.0000 0.2646 0.0000 1
Tl2 Tl 0.0000 0.3052 0.5000 1
Tl3 Tl 0.1823 0.5000 0.9329 1
Zn1 Zn 0.1900 0.5000 0.5553 1
# Fermi-level density of states = 19.08 states/eV/cell
# electronic total energy = -2.291 eV per atom
# E_form = -0.2375 eV/atom

***

# Be2CuMo (PBE-GGA, optimized geometry)
data_Be2CuMo
_chemical_formula_sum 'Be2 Cu1 Mo1'
_space_group_name_H-M_alt 'P 4 m m'
_space_group_IT_number 99
_cell_length_a 2.6647
_cell_length_b 2.6647
_cell_length_c 6.1742
_cell_angle_alpha 90.00
_cell_angle_beta 90.00
_cell_angle_gamma 90.00
loop_
_space_group_symop_operation_xyz
'x,y,z'
'-y,x,z'
'-x,-y,z'
'y,-x,z'
'-x,y,z'
'y,x,z'
'x,-y,z'
'-y,-x,z'
loop_
_atom_site_label
_atom_site_type_symbol
_atom_site_fract_x
_atom_site_fract_y
_atom_site_fract_z
_atom_site_occupancy
Be1 Be 0.0000 0.0000 0.0000 1
Be2 Be 0.5000 0.5000 0.1862 1
Cu1 Cu 0.0000 0.0000 0.3989 1
Mo1 Mo 0.5000 0.5000 0.7235 1
# Fermi-level density of states = 2.72 states/eV/cell
# electronic total energy = -5.582 eV per atom
# E_form = 0.0127 eV/atom
# offset from the most stable computed form = 0.070 eV per atom

***

# Sr2YNi (PBE-GGA, optimized geometry)
data_Sr2YNi
_chemical_formula_sum 'Sr4 Y2 Ni2'
_space_group_name_H-M_alt 'C 1 m 1'
_space_group_IT_number 8
_cell_length_a 13.3621
_cell_length_b 3.7589
_cell_length_c 6.0466
_cell_angle_alpha 90.00
_cell_angle_beta 116.89
_cell_angle_gamma 90.00
loop_
_space_group_symop_operation_xyz
'x,y,z'
'x,-y,z'
'x+1/2,y+1/2,z'
'x+1/2,-y+1/2,z'
loop_
_atom_site_label
_atom_site_type_symbol
_atom_site_fract_x
_atom_site_fract_y
_atom_site_fract_z
_atom_site_occupancy
Sr1 Sr 0.0000 0.0000 0.0000 1
Sr2 Sr 0.1829 0.0000 0.6829 1
Y1 Y 0.3236 0.5000 0.3233 1
Ni1 Ni 0.4796 0.0000 0.4746 1
# Fermi-level density of states = 8.86 states/eV/cell
# electronic total energy = -3.837 eV per atom
# E_form = 0.0655 eV/atom
# offset from the most stable computed form = 0.082 eV per atom

***

# BaTaCu (PBE-GGA, optimized geometry)
data_BaTaCu
_chemical_formula_sum 'Ba2 Ta2 Cu2'
_space_group_name_H-M_alt 'P 4/n m m'
_space_group_IT_number 129
_cell_length_a 4.1897
_cell_length_b 4.1897
_cell_length_c 8.0389
_cell_angle_alpha 90.00
_cell_angle_beta 90.00
_cell_angle_gamma 90.00
loop_
_space_group_symop_operation_xyz
'x,y,z'
'-x,-y,-z'
'-y+1/2,x,z'
'y+1/2,-x,-z'
'-x+1/2,-y+1/2,z'
'x+1/2,y+1/2,-z'
'y,-x+1/2,z'
'-y,x+1/2,-z'
'x+1/2,-y,-z'
'-x+1/2,y,z'
'-y,-x,-z'
'y,x,z'
'-x,y+1/2,-z'
'x,-y+1/2,z'
'y+1/2,x+1/2,-z'
'-y+1/2,-x+1/2,z'
loop_
_atom_site_label
_atom_site_type_symbol
_atom_site_fract_x
_atom_site_fract_y
_atom_site_fract_z
_atom_site_occupancy
Ba1 Ba 0.2500 0.7500 0.0000 1
Ta1 Ta 0.2500 0.2500 0.4081 1
Cu1 Cu 0.2500 0.2500 0.6998 1
# Fermi-level density of states = 3.34 states/eV/cell
# electronic total energy = -4.782 eV per atom
# E_form = 1.1750 eV/atom
# offset from the most stable computed form = 0.865 eV per atom

***

# Si3Se (PBE-GGA, optimized geometry)
data_Si3Se
_chemical_formula_sum 'Si12 Se4'
_space_group_name_H-M_alt 'F m -3 m'
_space_group_IT_number 225
_space_group_name_Hall '-F 4 2 3'
_cell_length_a 6.3957
_cell_length_b 6.3957
_cell_length_c 6.3957
_cell_angle_alpha 90.00
_cell_angle_beta 90.00
_cell_angle_gamma 90.00
loop_
_atom_site_label
_atom_site_type_symbol
_atom_site_fract_x
_atom_site_fract_y
_atom_site_fract_z
_atom_site_occupancy
Si1 Si 0.0000 0.0000 0.0000 1
Si2 Si 0.2500 0.2500 0.2500 1
Se1 Se 0.0000 0.0000 0.5000 1
# Fermi-level density of states = 14.10 states/eV/cell
# electronic total energy = -4.333 eV per atom
# raw formation energy = 0.605 eV/atom

***

# YTmPd2 (PBE-GGA, optimized geometry)
data_YTmPd2
_chemical_formula_sum 'Y4 Tm4 Pd8'
_space_group_name_H-M_alt 'F m -3 m'
_space_group_IT_number 225
_space_group_name_Hall '-F 4 2 3'
_cell_length_a 6.9905
_cell_length_b 6.9905
_cell_length_c 6.9905
_cell_angle_alpha 90.00
_cell_angle_beta 90.00
_cell_angle_gamma 90.00
loop_
_atom_site_label
_atom_site_type_symbol
_atom_site_fract_x
_atom_site_fract_y
_atom_site_fract_z
_atom_site_occupancy
Y1 Y 0.0000 0.0000 0.0000 1
Tm1 Tm 0.0000 0.0000 0.5000 1
Pd1 Pd 0.2500 0.2500 0.2500 1
# Fermi-level density of states = 11.03 states/eV/cell
# electronic total energy = -6.239 eV per atom
# E_form = -0.9085 eV/atom
# offset from the most stable computed form = 0.018 eV per atom

***

# Rb2SmScTe4 (PBE-GGA, optimized geometry)
data_Rb2SmScTe4
_chemical_formula_sum 'Rb2 Sm1 Sc1 Te4'
_space_group_name_H-M_alt 'P 1 2/m 1'
_space_group_IT_number 10
_cell_length_a 7.7607
_cell_length_b 4.4756
_cell_length_c 8.9135
_cell_angle_alpha 90.00
_cell_angle_beta 106.84
_cell_angle_gamma 90.00
loop_
_space_group_symop_operation_xyz
'x,y,z'
'-x,-y,-z'
'-x,y,-z'
'x,-y,z'
loop_
_atom_site_label
_atom_site_type_symbol
_atom_site_fract_x
_atom_site_fract_y
_atom_site_fract_z
_atom_site_occupancy
Rb1 Rb 0.0000 0.0000 0.0000 1
Rb2 Rb 0.5000 0.5000 0.0000 1
Sm1 Sm 0.0000 0.5000 0.5000 1
Sc1 Sc 0.5000 0.0000 0.5000 1
Te1 Te 0.2477 0.0000 0.6994 1
Te2 Te 0.2832 0.5000 0.3078 1
# electronic total energy = -4.501 eV per atom
# raw formation energy = -1.307 eV/atom

***

# Ag4Te2Au (PBE-GGA, optimized geometry)
data_Ag4Te2Au
_chemical_formula_sum 'Ag16 Te8 Au4'
_space_group_name_H-M_alt 'C 1 c 1'
_space_group_IT_number 9
_cell_length_a 9.5228
_cell_length_b 9.2669
_cell_length_c 8.8480
_cell_angle_alpha 90.00
_cell_angle_beta 122.43
_cell_angle_gamma 90.00
loop_
_space_group_symop_operation_xyz
'x,y,z'
'x,-y,z+1/2'
'x+1/2,y+1/2,z'
'x+1/2,-y+1/2,z+1/2'
loop_
_atom_site_label
_atom_site_type_symbol
_atom_site_fract_x
_atom_site_fract_y
_atom_site_fract_z
_atom_site_occupancy
Ag1 Ag 0.0000 0.0042 0.0000 1
Ag2 Ag 0.1266 0.2540 0.7537 1
Ag3 Ag 0.1338 0.4128 0.3156 1
Ag4 Ag 0.4460 0.1619 0.4390 1
Te1 Te 0.3210 0.0788 0.0731 1
Te2 Te 0.3750 0.3287 0.6809 1
Au1 Au 0.3004 0.3750 0.1272 1
# Fermi-level density of states = 3.50 states/eV/cell
# electronic total energy = -2.973 eV per atom
# raw formation energy = 0.022 eV/atom